A plane-wave DFT calculation with GGA-PBE was carried out for a relaxed Pr7In2Ag2 crystal.

Cell: 8.393 11.544 7.589 Å, 90.00 90.00 90.00°
Space group Cmmm (No. 65)
Inequivalent atoms, fractional coordinates:
Pr1 0.000 0.000 0.000 (multiplicity 2)
Pr2 0.000 0.500 0.260 (multiplicity 4)
Pr3 0.250 0.250 0.277 (multiplicity 8)
In1 0.169 0.000 0.500 (multiplicity 4)
Ag1 0.000 0.287 0.000 (multiplicity 4)

D(E_F) (states/eV per cell): 31.89
Formation energy from the elements (eV/f.u.): -0.4


A plane-wave DFT calculation with GGA-PBE was carried out for a relaxed Ti4Re5Mo crystal.

Cell: 3.121 3.121 15.602 Å, 90.00 90.00 90.00°
Space group P4/mmm (No. 123)
Inequivalent atoms, fractional coordinates:
Ti1 0.000 0.000 0.100 (multiplicity 2)
Ti2 0.000 0.000 0.298 (multiplicity 2)
Re1 0.500 0.500 0.000 (multiplicity 1)
Re2 0.500 0.500 0.200 (multiplicity 2)
Re3 0.500 0.500 0.400 (multiplicity 2)
Mo1 0.000 0.000 0.500 (multiplicity 1)

D(E_F) (states/eV per cell): 6.02
Formation energy from the elements (eV/f.u.): -3.6


A plane-wave DFT calculation with GGA-PBE was carried out for a relaxed BaAcLaIn crystal.

Cell: 8.519 8.519 8.519 Å, 90.00 90.00 90.00°
Space group F-43m (No. 216)
Inequivalent atoms, fractional coordinates:
Ba1 0.000 0.000 0.000 (multiplicity 4)
Ac1 0.250 0.250 0.250 (multiplicity 4)
La1 0.000 0.000 0.500 (multiplicity 4)
In1 0.250 0.250 0.750 (multiplicity 4)

D(E_F) (states/eV per cell): 22.66
Formation energy from the elements (eV/f.u.): 0.0


A plane-wave DFT calculation with GGA-PBE was carried out for a relaxed Rb2HfIn crystal.

Cell: 13.527 13.527 5.598 Å, 90.00 90.00 90.00°
Space group I-42d (No. 122)
Inequivalent atoms, fractional coordinates:
Rb1 0.095 0.250 0.125 (multiplicity 8)
Hf1 0.000 0.000 0.500 (multiplicity 4)
In1 0.000 0.000 0.000 (multiplicity 4)

D(E_F) (states/eV per cell): 19.45
Formation energy from the elements (eV/f.u.): 3.7


A plane-wave DFT calculation with GGA-PBE was carried out for a relaxed TlFe2Pt crystal.

Cell: 2.9710 2.9710 25.7205 Å, 90.00 90.00 120.00°
Space group R3m (No. 160, hexagonal axes)
Inequivalent atoms, fractional coordinates:
Tl1 0.0000 0.0000 0.0000 (multiplicity 3)
Fe1 0.0000 0.0000 0.4918 (multiplicity 3)
Fe2 0.0000 0.0000 0.7586 (multiplicity 3)
Pt1 0.0000 0.0000 0.2374 (multiplicity 3)

D(E_F) (states/eV per cell): 5.96
Formation energy from the elements (eV/f.u.): 1.3
Offset from the most stable computed form (meV/atom): 135.3


A plane-wave DFT calculation with GGA-PBE was carried out for a relaxed GdLuPtPb crystal.

Cell: 7.303 7.303 7.303 Å, 90.00 90.00 90.00°
Space group F-43m (No. 216)
Inequivalent atoms, fractional coordinates:
Gd1 0.000 0.000 0.000 (multiplicity 4)
Lu1 0.000 0.000 0.500 (multiplicity 4)
Pt1 0.250 0.250 0.750 (multiplicity 4)
Pb1 0.250 0.250 0.250 (multiplicity 4)

D(E_F) (states/eV per cell): 8.67
Formation energy from the elements (eV/f.u.): -2.9


A plane-wave DFT calculation with GGA-PBE was carried out for a relaxed SrTiFe2 crystal.

Cell: 6.411 6.411 6.411 Å, 90.00 90.00 90.00°
Space group Fm-3m (No. 225)
Inequivalent atoms, fractional coordinates:
Sr1 0.000 0.000 0.000 (multiplicity 4)
Ti1 0.000 0.000 0.500 (multiplicity 4)
Fe1 0.250 0.250 0.250 (multiplicity 8)

D(E_F) (states/eV per cell): 25.64
Formation energy from the elements (eV/f.u.): 3.2
Offset from the most stable computed form (meV/atom): 30.6


A plane-wave DFT calculation with GGA-PBE was carried out for a relaxed TaTeW2 crystal.

Cell: 3.1837 3.1837 25.7231 Å, 90.00 90.00 120.00°
Space group R3m (No. 160, hexagonal axes)
Inequivalent atoms, fractional coordinates:
Ta1 0.0000 0.0000 0.0000 (multiplicity 3)
Te1 0.0000 0.0000 0.7555 (multiplicity 3)
W1 0.0000 0.0000 0.2525 (multiplicity 3)
W2 0.0000 0.0000 0.5116 (multiplicity 3)

D(E_F) (states/eV per cell): 10.61
Formation energy from raw total energies (eV/atom): 0.5131


A plane-wave DFT calculation with GGA-PBE was carried out for a relaxed AlReB2 crystal.

Cell: 4.544 4.495 8.134 Å, 90.00 105.35 90.00°
Space group P2/c (No. 13)
Inequivalent atoms, fractional coordinates:
Al1 0.199 0.130 0.148 (multiplicity 4)
Re1 0.296 0.357 0.864 (multiplicity 4)
B1 0.162 0.362 0.564 (multiplicity 4)
B2 0.330 0.142 0.436 (multiplicity 4)

D(E_F) (states/eV per cell): 4.19
Formation energy from the elements (eV/f.u.): -0.3


A plane-wave DFT calculation with GGA-PBE was carried out for a relaxed CsCaNb crystal.

Cell: 4.057 4.057 15.132 Å, 90.00 90.00 90.00°
Space group P4/nmm (No. 129, origin choice 2)
Inequivalent atoms, fractional coordinates:
Cs1 0.250 0.250 0.235 (multiplicity 2)
Ca1 0.250 0.750 0.500 (multiplicity 2)
Nb1 0.250 0.250 0.997 (multiplicity 2)

D(E_F) (states/eV per cell): 5.59
Formation energy from the elements (eV/f.u.): 3.6
Offset from the most stable computed form (meV/atom): 785.9


A plane-wave DFT calculation with GGA-PBE was carried out for a relaxed Nd5CdCu4 crystal.

Cell: 3.606 3.606 18.660 Å, 90.00 90.00 90.00°
Space group P4/mmm (No. 123)
Inequivalent atoms, fractional coordinates:
Nd1 0.000 0.000 0.000 (multiplicity 1)
Nd2 0.000 0.000 0.193 (multiplicity 2)
Nd3 0.000 0.000 0.383 (multiplicity 2)
Cd1 0.500 0.500 0.500 (multiplicity 1)
Cu1 0.500 0.500 0.096 (multiplicity 2)
Cu2 0.500 0.500 0.288 (multiplicity 2)

D(E_F) (states/eV per cell): 8.75
Formation energy from the elements (eV/f.u.): -1.7


A plane-wave DFT calculation with GGA-PBE was carried out for a relaxed KLaCdPb crystal.

Cell: 8.075 8.075 8.075 Å, 90.00 90.00 90.00°
Space group F-43m (No. 216)
Inequivalent atoms, fractional coordinates:
K1 0.000 0.000 0.000 (multiplicity 4)
La1 0.000 0.000 0.500 (multiplicity 4)
Cd1 0.250 0.250 0.250 (multiplicity 4)
Pb1 0.250 0.250 0.750 (multiplicity 4)

D(E_F) (states/eV per cell): 5.72
Formation energy from the elements (eV/f.u.): -0.9